The following is a DFT calculation (GGA-PBE) of a geometry-optimized Cr3PdSe structure.

Properties
symmetry: Pm-3m (221)
crystal system: cubic
magnetic moment: 0.00 μB/f.u.
DFT total energy: -6.428 eV per atom
density: 7.0 Mg/m³
formation energy from raw total energies: 1.08 eV per atom

a = 4.3357 Å, b = 4.3357 Å, c = 4.3357 Å
α = 90.00°, β = 90.00°, γ = 90.00°
Positions (direct):
Cr (0.0000, 0.5000, 0.0000)
Cr (0.0000, 0.0000, 0.5000)
Cr (0.5000, 0.0000, 0.0000)
Se (0.0000, 0.0000, 0.0000)
Pd (0.5000, 0.5000, 0.5000)



The following is a DFT calculation (GGA-PBE) of a geometry-optimized CrPdSe3 structure.

Properties
symmetry: Pm-3m (221)
crystal system: cubic
magnetic moment: 0.00 μB/f.u.
DFT total energy: -4.619 eV per atom
density: 6.3 Mg/m³
formation energy from raw total energies: 0.44 eV per atom

a = 4.7057 Å, b = 4.7057 Å, c = 4.7057 Å
α = 90.00°, β = 90.00°, γ = 90.00°
Positions (direct):
Cr (0.0000, 0.0000, 0.0000)
Se (0.0000, 0.5000, 0.0000)
Se (0.0000, 0.0000, 0.5000)
Se (0.5000, 0.0000, 0.0000)
Pd (0.5000, 0.5000, 0.5000)



The following is a DFT calculation (GGA-PBE) of a geometry-optimized CrPd3Se6 structure.

Properties
symmetry: R-3 (148)
crystal system: trigonal
magnetic moment: 2.04 μB/f.u.
DFT total energy: -4.854 eV per atom
density: 6.5 Mg/m³
formation energy from raw total energies: -0.24 eV per atom

a = 7.5474 Å, b = 7.5474 Å, c = 7.5474 Å
α = 90.30°, β = 90.30°, γ = 90.30°
Positions (direct):
Cr (0.0000, 0.0000, 0.0000)
Cr (0.5000, 0.5000, 0.5000)
Pd (0.4492, 0.9145, 0.7538)
Pd (0.9145, 0.7538, 0.4492)
Pd (0.2462, 0.5508, 0.0855)
Pd (0.7538, 0.4492, 0.9145)
Pd (0.0855, 0.2462, 0.5508)
Pd (0.5508, 0.0855, 0.2462)
Se (0.3113, 0.9124, 0.0682)
Se (0.0876, 0.9318, 0.6887)
Se (0.5909, 0.8166, 0.4649)
Se (0.9318, 0.6887, 0.0876)
Se (0.4649, 0.5909, 0.8166)
Se (0.1834, 0.5351, 0.4091)
Se (0.8166, 0.4649, 0.5909)
Se (0.5351, 0.4091, 0.1834)
Se (0.0682, 0.3113, 0.9124)
Se (0.4091, 0.1834, 0.5351)
Se (0.9124, 0.0682, 0.3113)
Se (0.6887, 0.0876, 0.9318)